--- 1 ---
Entry from Alexandria: crystalline InHO at its relaxed geometry (PBE-GGA).

Unit cell a=6.352 b=3.177 c=3.794 alpha=90.00 beta=90.00 gamma=90.00
Atoms (fractional coordinates):
In 0.250 0.000 0.002
In 0.750 0.000 0.998
H 0.250 0.000 0.501
H 0.750 0.000 0.499
O 0.000 0.500 0.000
O 0.500 0.500 0.000

Fermi-level density of states (states/eV/f.u.): 0.1
Mass density (g/cm3): 5.718

---

--- 2 ---
Entry from Alexandria: crystalline InHO at its relaxed geometry (PBE-GGA).

Unit cell a=5.785 b=3.035 c=7.195 alpha=90.00 beta=90.00 gamma=90.00
Atoms (fractional coordinates):
In 0.231 0.250 0.119
In 0.269 0.750 0.619
In 0.731 0.250 0.381
In 0.769 0.750 0.881
H 0.144 0.250 0.478
H 0.356 0.750 0.978
H 0.644 0.250 0.022
H 0.856 0.750 0.522
O 0.048 0.250 0.822
O 0.452 0.750 0.322
O 0.548 0.250 0.678
O 0.952 0.750 0.178

Mass density (g/cm3): 6.932

---

Result of the stability comparison: 1 is the most stable of them.

---

--- 1 ---
Entry from Alexandria: crystalline InHSeO4 at its relaxed geometry (PBE-GGA).

Unit cell a=12.124 b=4.870 c=6.402 alpha=90.00 beta=90.00 gamma=90.00
Atoms (fractional coordinates):
In 0.009 0.012 0.000
In 0.491 0.512 0.500
In 0.509 0.488 0.000
In 0.991 0.988 0.500
H 0.114 0.472 0.620
H 0.386 0.972 0.120
H 0.614 0.028 0.620
H 0.886 0.528 0.120
Se 0.189 0.484 0.277
Se 0.311 0.984 0.777
Se 0.689 0.016 0.277
Se 0.811 0.516 0.777
O 0.079 0.180 0.736
O 0.080 0.249 0.258
O 0.135 0.637 0.523
O 0.159 0.722 0.097
O 0.341 0.222 0.597
O 0.365 0.137 0.023
O 0.420 0.749 0.758
O 0.421 0.680 0.236
O 0.579 0.320 0.736
O 0.580 0.251 0.258
O 0.635 0.863 0.523
O 0.659 0.778 0.097
O 0.841 0.278 0.597
O 0.865 0.363 0.023
O 0.920 0.751 0.758
O 0.921 0.820 0.236

Fermi-level density of states (states/eV/f.u.): 0.0
Mass density (g/cm3): 4.547

---

--- 2 ---
Entry from Alexandria: crystalline InHSeO4 at its relaxed geometry (PBE-GGA).

Unit cell a=5.773 b=8.224 c=8.305 alpha=87.45 beta=79.69 gamma=82.87
Atoms (fractional coordinates):
In 0.105 0.020 0.187
In 0.306 0.686 0.489
In 0.694 0.314 0.511
In 0.895 0.980 0.813
H 0.156 0.237 0.388
H 0.490 0.083 0.696
H 0.510 0.917 0.304
H 0.844 0.763 0.612
Se 0.105 0.356 0.762
Se 0.430 0.732 0.883
Se 0.570 0.268 0.117
Se 0.895 0.644 0.238
O 0.008 0.214 0.356
O 0.148 0.568 0.308
O 0.151 0.154 0.705
O 0.166 0.866 0.961
O 0.331 0.436 0.615
O 0.350 0.882 0.318
O 0.358 0.180 0.047
O 0.476 0.785 0.678
O 0.524 0.215 0.322
O 0.642 0.820 0.953
O 0.650 0.118 0.682
O 0.669 0.564 0.385
O 0.834 0.134 0.039
O 0.849 0.846 0.295
O 0.852 0.432 0.692
O 0.992 0.786 0.644

Fermi-level density of states (states/eV/f.u.): 0.0
Mass density (g/cm3): 4.466

---

Result of the stability comparison: 2 is the most stable of them.

---

--- 1 ---
Entry from Alexandria: crystalline InH2Os at its relaxed geometry (PBE-GGA).

Unit cell a=3.922 b=3.922 c=3.922 alpha=60.00 beta=60.00 gamma=60.00
Atoms (fractional coordinates):
In 0.000 0.000 0.000
H 0.250 0.250 0.250
H 0.750 0.750 0.750
Os 0.500 0.500 0.500

Fermi-level density of states (states/eV/f.u.): 1.5
Mass density (g/cm3): 11.951

---

--- 2 ---
Entry from Alexandria: crystalline InH2Os at its relaxed geometry (PBE-GGA).

Unit cell a=6.519 b=6.519 c=6.519 alpha=144.58 beta=144.58 gamma=50.96
Atoms (fractional coordinates):
In 0.000 0.000 0.000
In 0.750 0.250 0.500
H 0.373 0.125 0.748
H 0.375 0.627 0.752
H 0.377 0.625 0.252
H 0.875 0.623 0.248
Os 0.250 0.750 0.500
Os 0.500 0.500 0.000

Fermi-level density of states (states/eV/f.u.): 2.0
Mass density (g/cm3): 11.018

---

Result of the stability comparison: 2 is the most stable of them.

---

--- 1 ---
Entry from Alexandria: crystalline In2HOs at its relaxed geometry (PBE-GGA).

Unit cell a=4.563 b=4.563 c=4.563 alpha=60.00 beta=60.00 gamma=60.00
Atoms (fractional coordinates):
In 0.250 0.250 0.250
In 0.750 0.750 0.750
H 0.000 0.000 0.000
Os 0.500 0.500 0.500

Fermi-level density of states (states/eV/f.u.): 2.1
Mass density (g/cm3): 10.402

---

--- 2 ---
Entry from Alexandria: crystalline In2HOs at its relaxed geometry (PBE-GGA).

Unit cell a=7.073 b=7.073 c=7.073 alpha=137.73 beta=137.73 gamma=61.31
Atoms (fractional coordinates):
In 0.037 0.625 0.912
In 0.375 0.287 0.412
In 0.713 0.125 0.088
In 0.875 0.963 0.588
H 0.000 0.000 0.000
H 0.750 0.250 0.500
Os 0.250 0.750 0.500
Os 0.500 0.500 0.000

Fermi-level density of states (states/eV/f.u.): 3.1
Mass density (g/cm3): 8.832

---

Result of the stability comparison: 1 is the most stable of them.